1.
Material: EuAl2Ge
Method: DFT, SCAN
State: single point on PBEsol structure

Cell and atoms, written as POSCAR:
```
EuAl2Ge
1.0
7.100 0.000 0.000
0.000 4.232 0.000
0.000 0.000 11.080
Eu Al Ge
4 8 4
direct
0.152 0.250 0.143
0.348 0.750 0.643
0.652 0.250 0.357
0.848 0.750 0.857
0.022 0.250 0.659
0.156 0.250 0.440
0.344 0.750 0.940
0.478 0.750 0.159
0.522 0.250 0.841
0.656 0.250 0.060
0.844 0.750 0.560
0.978 0.750 0.341
0.162 0.250 0.864
0.338 0.750 0.364
0.662 0.250 0.636
0.838 0.750 0.136
```

**Space-group type**: No. 62
**DFT formation energy**: -0.50 eV per atom

***

2.
Material: EuAlGe
Method: DFT, SCAN
State: single point on PBEsol structure

Cell and atoms, written as POSCAR:
```
EuAlGe
1.0
4.256 0.000 0.000
0.000 4.256 0.000
0.000 0.000 14.775
Eu Al Ge
4 4 4
direct
0.000 0.000 0.000
0.000 0.500 0.250
0.500 0.000 0.750
0.500 0.500 0.500
0.000 0.000 0.417
0.000 0.500 0.667
0.500 0.000 0.167
0.500 0.500 0.917
0.000 0.000 0.583
0.000 0.500 0.833
0.500 0.000 0.333
0.500 0.500 0.083
```

**Space-group type**: No. 109
**DFT formation energy**: -0.59 eV per atom

***

3.
Material: EuAlGe2O7
Method: DFT, SCAN
State: single point on PBEsol structure

Cell and atoms, written as POSCAR:
```
EuAlGe2O7
1.0
7.197 0.000 0.000
0.000 6.522 0.000
-5.856 0.000 11.243
Eu Al Ge O
4 4 8 28
direct
0.240 0.147 0.474
0.240 0.353 0.974
0.760 0.647 0.026
0.760 0.853 0.526
0.211 0.101 0.729
0.211 0.399 0.229
0.789 0.601 0.771
0.789 0.899 0.271
0.209 0.658 0.452
0.209 0.842 0.952
0.303 0.590 0.722
0.303 0.910 0.222
0.697 0.090 0.778
0.697 0.410 0.278
0.791 0.158 0.048
0.791 0.342 0.548
0.006 0.659 0.917
0.006 0.841 0.417
0.159 0.682 0.189
0.159 0.818 0.689
0.203 0.054 0.866
0.203 0.446 0.366
0.222 0.118 0.278
0.222 0.382 0.778
0.251 0.501 0.575
0.251 0.999 0.075
0.407 0.673 0.974
0.407 0.827 0.474
0.425 0.121 0.694
0.425 0.379 0.194
0.575 0.621 0.806
0.575 0.879 0.306
0.593 0.173 0.526
0.593 0.327 0.026
0.749 0.001 0.925
0.749 0.499 0.425
0.778 0.618 0.222
0.778 0.882 0.722
0.797 0.554 0.634
0.797 0.946 0.134
0.841 0.182 0.311
0.841 0.318 0.811
0.994 0.159 0.583
0.994 0.341 0.083
```

**Space-group type**: No. 14
**Energy relative to the elements, uncorrected**: -2.47 eV per atom

***

| no. | N(E_F) (states/eV/cell) |
| --- | --- |
| 1 | 13.2 |
| 2 | 30.3 |
| 3 | 6.1 |